Record 1
HfCdB: optimized geometry, PBE-GGA.

Results
The space-group type is F-43m (216). The calculation puts the offset from the most stable computed form at 0 meV/atom. The value obtained for the magnetic moment is 0.001 μB/f.u. The calculated total energy comes out at -14.6 eV per cell. The calculation puts the density at 8.62 g/cm3.

Lattice parameters (Å, degrees): 4.3480 4.3480 4.3480 60.00 60.00 60.00
With the nearest neighbours (Å) after each atom.
Sites, in units of the cell vectors:
1 B 0.2500 0.2500 0.2500  4 Hf 2.66
2 Cd 0.7500 0.7500 0.7500  4 Hf 2.66
3 Hf 0.0000 0.0000 0.0000  4 Cd 2.66, 4 B 2.66


Record 2
CdAg2GeTe3Se: optimized geometry, PBE-GGA.

Results
The space-group type is Cm (8). The calculated total energy comes out at -25.7 eV per cell. The calculation puts the density at 5.65 g/cm3.

Lattice parameters (Å, degrees): 6.3395 6.3395 7.6935 113.74 113.74 90.54
With the nearest neighbours (Å) after each atom.
Sites, in units of the cell vectors:
1 Cd 0.9876 0.9876 0.9938  1 Se 2.76, 3 Te 2.89-2.94
2 Ag 0.2630 0.7424 0.5095  1 Se 2.67, 3 Te 2.78-2.79
3 Ag 0.7424 0.2630 0.5095  1 Se 2.67, 3 Te 2.78-2.79
4 Ge 0.5061 0.5061 0.9913  1 Se 2.46, 3 Te 2.65-2.66
5 Te 0.8571 0.3903 0.2471  1 Ge 2.65, 2 Ag 2.78-2.79, 1 Cd 2.89
6 Te 0.3903 0.8571 0.2471  1 Ge 2.65, 2 Ag 2.78-2.79, 1 Cd 2.89
7 Te 0.1424 0.1424 0.7440  1 Ge 2.66, 2 Ag 2.78, 1 Cd 2.94
8 Se 0.6111 0.6111 0.7578  1 Ge 2.46, 2 Ag 2.67


Record 3
MgTc: optimized geometry, PBE-GGA.

Results
The space-group type is Pmmn (59). The calculation puts the offset from the most stable computed form at 266 meV/atom. The value obtained for the magnetic moment is 0.003 μB/f.u. The calculated total energy comes out at -91.4 eV per cell. The calculation puts the density at 6.21 g/cm3.

Lattice parameters (Å, degrees): 4.9290 11.5362 4.6004 90.00 90.00 90.00
With the nearest neighbours (Å) after each atom.
Sites, in units of the cell vectors:
1 Tc 0.5220 0.8750 0.0000  6 Tc 2.77-2.79, 6 Mg 2.80-2.91
2 Tc 0.0041 0.2691 0.0000  2 Tc 2.44-2.69
3 Tc 0.4893 0.3750 0.0000  6 Tc 2.69-2.82, 6 Mg 2.83-2.88
4 Tc 0.8113 0.3750 0.5000  6 Tc 2.77-2.79, 6 Mg 2.80-2.91
5 Tc 0.0041 0.4809 0.0000  2 Tc 2.44-2.69
6 Tc 0.3293 0.7692 0.5000  2 Tc 2.44-2.69
7 Tc 0.8439 0.8750 0.5000  6 Tc 2.69-2.81, 6 Mg 2.83-2.88
8 Tc 0.3293 0.9808 0.5000  2 Tc 2.44-2.69
9 Mg 0.4914 0.6247 0.0000  6 Mg 2.78-2.94, 6 Tc 2.88-3.02
10 Mg 0.3236 0.2501 0.5000  5 Mg 2.78-2.94, 7 Tc 2.80-3.11
11 Mg 0.0097 0.9998 0.0000  5 Mg 2.78-2.94, 7 Tc 2.80-3.11
12 Mg 0.0097 0.7502 0.0000  5 Mg 2.78-2.94, 7 Tc 2.80-3.11
13 Mg 0.8420 0.1247 0.5000  6 Mg 2.78-2.94, 6 Tc 2.88-3.02
14 Mg 0.3236 0.4999 0.5000  5 Mg 2.78-2.94, 7 Tc 2.80-3.11
15 Mg 0.8420 0.6253 0.5000  6 Mg 2.78-2.94, 6 Tc 2.88-3.02
16 Mg 0.4914 0.1253 0.0000  6 Mg 2.78-2.94, 6 Tc 2.88-3.02


Record 4
LiLaNiS3: optimized geometry, PBE-GGA.

Results
The space-group type is Cmcm (63). The value obtained for the magnetic moment is 1.092 μB/f.u. The calculated total energy comes out at -63.8 eV per cell. The calculation puts the density at 4.06 g/cm3.

Lattice parameters (Å, degrees): 3.9406 5.8813 11.2664 90.00 90.00 70.43
With the nearest neighbours (Å) after each atom.
Sites, in units of the cell vectors:
1 La 0.0000 0.0000 0.0000  6 S 2.85-2.93
2 La 0.0000 0.0000 0.5000  6 S 2.85-2.93
3 Li 0.7750 0.4500 0.7500  6 S 2.71-2.99, 2 Ni 3.02
4 Li 0.2250 0.5500 0.2500  6 S 2.71-2.99, 2 Ni 3.02
5 Ni 0.4809 0.0381 0.7500  4 S 2.22-2.26
6 Ni 0.5191 0.9619 0.2500  4 S 2.22-2.26
7 S 0.3448 0.3104 0.8997  1 Ni 2.26
8 S 0.6552 0.6896 0.1003  1 Ni 2.26
9 S 0.0724 0.8552 0.7500  2 Ni 2.22
10 S 0.6552 0.6896 0.3997  1 Ni 2.26
11 S 0.9276 0.1448 0.2500  2 Ni 2.22
12 S 0.3448 0.3104 0.6003  1 Ni 2.26


Record 5
LaAl5CuPt: optimized geometry, PBE-GGA.

Results
The space-group type is Imm2 (44). The value obtained for the magnetic moment is 0.001 μB/f.u. The calculated total energy comes out at -38.5 eV per cell. The calculation puts the density at 6.02 g/cm3.

Lattice parameters (Å, degrees): 6.4566 6.4566 6.4566 142.88 111.76 80.32
With the nearest neighbours (Å) after each atom.
Sites, in units of the cell vectors:
1 Al 0.8421 0.6526 0.1895  1 Cu 2.46, 2 Pt 2.62, 1 Al 2.75
2 Al 0.1628 0.3510 0.8119  1 Pt 2.51, 2 Cu 2.65, 1 Al 2.73
3 Al 0.5391 0.3510 0.1881  1 Pt 2.51, 2 Cu 2.65, 1 Al 2.73
4 Al 0.4631 0.6526 0.8105  1 Cu 2.46, 2 Pt 2.62, 1 Al 2.75
5 Al 0.4935 0.9935 0.5000  1 Cu 2.37, 1 Pt 2.44
6 Cu 0.2536 0.7536 0.5000  7 Al 2.37-2.65
7 La 0.0055 0.0055 0.0000  2 Cu 3.20, 2 Pt 3.33, 8 Al 3.37-3.41
8 Pt 0.7402 0.2402 0.5000  7 Al 2.44-2.62


Record 6
DyHoBiI2: optimized geometry, PBE-GGA.

Results
The space-group type is P3m1 (156). The value obtained for the magnetic moment is 0.017 μB/f.u. The calculated total energy comes out at -21.9 eV per cell. The calculation puts the density at 7.05 g/cm3.

Lattice parameters (Å, degrees): 4.3732 4.3732 11.2440 90.00 90.00 120.00
With the nearest neighbours (Å) after each atom.
Sites, in units of the cell vectors:
1 Dy 0.3333 0.6667 0.8459  3 Bi 3.07, 3 I 3.16
2 Ho 0.6667 0.3333 0.1539  3 Bi 3.06, 3 I 3.16
3 I 0.6667 0.3333 0.6763  3 Dy 3.16
4 I 0.3333 0.6667 0.3230  3 Ho 3.16
5 Bi 0.0000 0.0000 0.0009  3 Ho 3.06, 3 Dy 3.07


Record 7
ErCuSi2Ni: optimized geometry, PBE-GGA.

Results
The space-group type is I-4m2 (119). The value obtained for the magnetic moment is 0.001 μB/f.u. The calculated total energy comes out at -28.3 eV per cell. The calculation puts the density at 7.63 g/cm3.

Lattice parameters (Å, degrees): 5.5913 5.5913 5.5913 138.74 138.74 59.76
With the nearest neighbours (Å) after each atom.
Sites, in units of the cell vectors:
1 Si 0.1288 0.6288 0.5000  2 Ni 2.33, 2 Cu 2.33, 1 Si 2.35
2 Si 0.3712 0.8712 0.5000  2 Cu 2.33, 2 Ni 2.33, 1 Si 2.35
3 Er 0.7500 0.2500 0.5000  8 Si 3.02, 4 Cu 3.12, 4 Ni 3.12
4 Ni 0.0000 0.0000 0.0000  4 Si 2.33
5 Cu 0.5000 0.5000 0.0000  4 Si 2.33


Record 8
PmGaB: optimized geometry, PBE-GGA.

Results
The space-group type is F-43m (216). The calculation puts the offset from the most stable computed form at 585 meV/atom. The value obtained for the magnetic moment is 0.000 μB/f.u. The calculated total energy comes out at -12.9 eV per cell. The calculation puts the density at 6.36 g/cm3.

Lattice parameters (Å, degrees): 4.3678 4.3678 4.3678 60.00 60.00 60.00
With the nearest neighbours (Å) after each atom.
Sites, in units of the cell vectors:
1 B 0.2500 0.2500 0.2500  4 Ga 2.67
2 Ga 0.0000 0.0000 0.0000  4 Pm 2.67, 4 B 2.67
3 Pm 0.7500 0.7500 0.7500  4 Ga 2.67


> Look up the calculated total energy of the third one.

-91.4 eV per cell


> What is the formula in the sixth record?

DyHoBiI2


> Look up the calculated total energy of the sixth one.

-21.9 eV per cell


> Look up the density of the sixth one.

7.05 g/cm3